An optimized crystal structure of Ca2CrTe. Source: Alexandria, functional PBEsol.

Results
Formation energy from raw total energies ... -0.08 eV per atom
Space-group type ... No. 139
DOS(E_F) ... 3.1 states/eV per cell

a b c (Å): 5.6000 5.6000 5.6000
angles (deg): 127.75 127.75 77.03
Positions (direct):
1 Ca 0.2500 0.7500 0.5000
2 Ca 0.7500 0.2500 0.5000
3 Cr 0.0000 0.0000 0.0000
4 Te 0.5000 0.5000 0.0000

***

An optimized crystal structure of SrIn2Au. Source: Alexandria, functional PBEsol.

Results
Space-group type ... No. 119
Calculated formation energy ... -0.39 eV per atom
DOS(E_F) ... 1.6 states/eV per cell

a b c (Å): 5.1621 5.1621 5.1621
angles (deg): 120.38 120.38 89.33
Positions (direct):
1 Sr 0.0000 0.0000 0.0000
2 In 0.2500 0.7500 0.5000
3 In 0.5000 0.5000 0.0000
4 Au 0.7500 0.2500 0.5000

***

An optimized crystal structure of RuRhW2. Source: Alexandria, functional PBEsol.

Results
Space-group type ... No. 47
Calculated formation energy ... -0.06 eV per atom
DOS(E_F) ... 3.3 states/eV per cell
Energy relative to the lowest polymorph listed for this composition ... 14 meV/atom

a b c (Å): 2.7443 3.8440 5.4906
angles (deg): 90.00 90.00 90.00
Positions (direct):
1 Ru 0.0000 0.0000 0.0000
2 Rh 0.0000 0.0000 0.5000
3 W 0.5000 0.5000 0.2467
4 W 0.5000 0.5000 0.7533

***

An optimized crystal structure of ScMo. Source: Alexandria, functional PBEsol.

Results
Space-group type ... No. 194
Calculated formation energy ... 1.92 eV per atom
DOS(E_F) ... 6.6 states/eV per cell
Energy relative to the lowest polymorph listed for this composition ... 1918 meV/atom

a b c (Å): 4.6462 4.6462 5.1386
angles (deg): 90.00 90.00 120.00
Positions (direct):
1 Sc 0.3333 0.6667 0.2500
2 Sc 0.6667 0.3333 0.7500
3 Mo 0.3333 0.6667 0.7500
4 Mo 0.6667 0.3333 0.2500